No. 1
This record from Alexandria describes crystalline Y2CrTc at its relaxed geometry. The functional is PBE-GGA.

## Properties
E = -0.586 Ry per atom
spin magnetization = 0.79 μB/f.u.
energy of formation from the pure elements = 251.8 meV per atom
SG = Pm

Structure (CIF):
```
data_Y2CrTc
_chemical_formula_sum 'Y2 Cr1 Tc1'
_cell_length_a 3.985
_cell_length_b 3.344
_cell_length_c 7.033
_cell_angle_alpha 74.94
_cell_angle_beta 90.00
_cell_angle_gamma 90.00
_space_group_name_H-M_alt 'P 1'
_space_group_IT_number 1
loop_
_space_group_symop_operation_xyz
'x,y,z'
loop_
_atom_site_label
_atom_site_type_symbol
_atom_site_fract_x
_atom_site_fract_y
_atom_site_fract_z
_atom_site_occupancy
Cr1 Cr 0.000 0.573 0.552 1
Tc1 Tc 0.500 0.677 0.696 1
Y1 Y 0.000 0.976 0.933 1
Y2 Y 0.500 0.273 0.319 1
```



No. 2
This record from Alexandria describes crystalline Y2CrTc3 at its relaxed geometry. The functional is PBE-GGA.

## Properties
E = -0.662 Ry per atom
spin magnetization = 1.81 μB/f.u.
energy of formation from the pure elements = -66.0 meV per atom
SG = C2/m

Structure (CIF):
```
data_Y2CrTc3
_chemical_formula_sum 'Y2 Cr1 Tc3'
_cell_length_a 5.318
_cell_length_b 5.318
_cell_length_c 5.461
_cell_angle_alpha 90.12
_cell_angle_beta 119.08
_cell_angle_gamma 119.92
_space_group_name_H-M_alt 'P 1'
_space_group_IT_number 1
loop_
_space_group_symop_operation_xyz
'x,y,z'
loop_
_atom_site_label
_atom_site_type_symbol
_atom_site_fract_x
_atom_site_fract_y
_atom_site_fract_z
_atom_site_occupancy
Y1 Y 0.753 0.376 0.129 1
Y2 Y 0.247 0.624 0.871 1
Cr1 Cr 0.000 0.000 0.000 1
Tc1 Tc 0.500 0.500 0.500 1
Tc2 Tc 0.000 0.000 0.500 1
Tc3 Tc 0.500 0.000 0.500 1
```



No. 3
This record from Alexandria describes crystalline YCr2Tc at its relaxed geometry. The functional is PBE-GGA.

## Properties
E = -0.640 Ry per atom
spin magnetization = 0.02 μB/f.u.
energy of formation from the pure elements = 305.9 meV per atom
SG = P4mm

Structure (CIF):
```
data_YCr2Tc
_chemical_formula_sum 'Y1 Cr2 Tc1'
_cell_length_a 3.044
_cell_length_b 3.044
_cell_length_c 6.999
_cell_angle_alpha 90.00
_cell_angle_beta 90.00
_cell_angle_gamma 90.00
_space_group_name_H-M_alt 'P 1'
_space_group_IT_number 1
loop_
_space_group_symop_operation_xyz
'x,y,z'
loop_
_atom_site_label
_atom_site_type_symbol
_atom_site_fract_x
_atom_site_fract_y
_atom_site_fract_z
_atom_site_occupancy
Cr1 Cr 0.000 0.000 0.066 1
Cr2 Cr 0.500 0.500 0.241 1
Tc1 Tc 0.000 0.000 0.438 1
Y1 Y 0.500 0.500 0.756 1
```



No. 4
This record from Alexandria describes crystalline YCr2Tc at its relaxed geometry. The functional is PBE-GGA.

## Properties
E = -0.636 Ry per atom
spin magnetization = 0.00 μB/f.u.
energy of formation from the pure elements = 369.1 meV per atom
SG = C2/m

Structure (CIF):
```
data_YCr2Tc
_chemical_formula_sum 'Y1 Cr2 Tc1'
_cell_length_a 4.891
_cell_length_b 4.891
_cell_length_c 5.140
_cell_angle_alpha 72.72
_cell_angle_beta 72.72
_cell_angle_gamma 37.57
_space_group_name_H-M_alt 'P 1'
_space_group_IT_number 1
loop_
_space_group_symop_operation_xyz
'x,y,z'
loop_
_atom_site_label
_atom_site_type_symbol
_atom_site_fract_x
_atom_site_fract_y
_atom_site_fract_z
_atom_site_occupancy
Cr1 Cr 0.034 0.034 0.878 1
Cr2 Cr 0.466 0.466 0.622 1
Tc1 Tc 0.750 0.750 0.750 1
Y1 Y 0.250 0.250 0.250 1
```